Density functional theory data (PBE) for CeBP2 after structural relaxation.

abc: 5.9521 5.9521 5.9521
angles: 146.47 146.47 48.15
Fractional coordinates of all 4 atoms:
Ce: 0.0000 0.0000 0.0000
B: 0.2500 0.7500 0.5000
P: 0.3505 0.3505 0.0000
P: 0.6495 0.6495 0.0000

Output
Total magnetization = 0.00 μB per atom
Polymorph energy (0 for the lowest one) = 0.000 eV per atom
Total energy = -25.55 eV for the cell shown
SG = I-4m2 (119)
DFT formation energy = -0.53 eV per atom
Crystal system = tetragonal



Density functional theory data (PBE) for CeBP after structural relaxation.

abc: 5.6120 5.6120 5.6120
angles: 145.23 101.21 89.10
Fractional coordinates of all 6 atoms:
Ce: 0.2366 0.2366 0.0000
Ce: 0.7634 0.7634 0.0000
B: 0.3795 0.0000 0.3795
B: 0.6205 0.0000 0.6205
P: 0.2281 0.5000 0.7281
P: 0.7719 0.5000 0.2719

Output
Total magnetization = 0.00 μB per atom
Polymorph energy (0 for the lowest one) = 0.000 eV per atom
Total energy = -41.09 eV for the cell shown
SG = Immm (71)
DFT formation energy = -0.84 eV per atom
Crystal system = orthorhombic



Density functional theory data (PBE) for CeBP2 after structural relaxation.

abc: 6.7747 6.7747 6.7747
angles: 39.03 39.03 39.03
Fractional coordinates of all 4 atoms:
Ce: 0.0000 0.0000 0.0000
B: 0.5000 0.5000 0.5000
P: 0.4055 0.4055 0.4055
P: 0.5945 0.5945 0.5945

Output
Total magnetization = 0.25 μB per atom
Polymorph energy (0 for the lowest one) = 0.231 eV per atom
Total energy = -24.63 eV for the cell shown
SG = R-3m (166)
DFT formation energy = -0.30 eV per atom
Crystal system = trigonal



Density functional theory data (PBE) for Ce3BP2Rh8 after structural relaxation.

abc: 5.6780 5.6780 9.1558
angles: 90.00 90.00 120.00
Fractional coordinates of all 14 atoms:
Ce: 0.0000 0.0000 0.0000
Ce: 0.3333 0.6667 0.6825
Ce: 0.6667 0.3333 0.3175
B: 0.0000 0.0000 0.5000
P: 0.3333 0.6667 0.1883
P: 0.6667 0.3333 0.8117
Rh: 0.1719 0.3438 0.3721
Rh: 0.1719 0.8281 0.3721
Rh: 0.3333 0.6667 0.9468
Rh: 0.3438 0.1719 0.6279
Rh: 0.6562 0.8281 0.3721
Rh: 0.6667 0.3333 0.0532
Rh: 0.8281 0.1719 0.6279
Rh: 0.8281 0.6562 0.6279

Output
Total magnetization = 0.05 μB per atom
Total energy = -102.11 eV for the cell shown
SG = P-3m1 (164)
DFT formation energy = -0.57 eV per atom
Crystal system = trigonal



Density functional theory data (PBE) for Ce4B3PRh12 after structural relaxation.

abc: 7.4501 7.4501 7.4501
angles: 109.47 109.47 109.47
Fractional coordinates of all 20 atoms:
Ce: 0.0000 0.0000 0.5000
Ce: 0.0000 0.5000 0.0000
Ce: 0.5000 0.0000 0.0000
Ce: 0.5000 0.5000 0.5000
B: 0.0000 0.5000 0.5000
B: 0.5000 0.0000 0.5000
B: 0.5000 0.5000 0.0000
P: 0.0000 0.0000 0.0000
Rh: 0.0000 0.2609 0.2609
Rh: 0.0000 0.7391 0.7391
Rh: 0.2500 0.5000 0.7500
Rh: 0.2500 0.7500 0.5000
Rh: 0.2609 0.0000 0.2609
Rh: 0.2609 0.2609 0.0000
Rh: 0.5000 0.2500 0.7500
Rh: 0.5000 0.7500 0.2500
Rh: 0.7391 0.0000 0.7391
Rh: 0.7391 0.7391 0.0000
Rh: 0.7500 0.2500 0.5000
Rh: 0.7500 0.5000 0.2500

Output
Total magnetization = 0.12 μB per atom
Total energy = -152.14 eV for the cell shown
SG = Im-3m (229)
DFT formation energy = -0.74 eV per atom
Crystal system = cubic



Density functional theory data (PBE) for Ce3BP2Rh9 after structural relaxation.

abc: 5.7623 5.7623 8.9638
angles: 90.00 90.00 120.00
Fractional coordinates of all 15 atoms:
Ce: 0.0000 0.0000 0.0000
Ce: 0.3333 0.6667 0.6790
Ce: 0.6667 0.3333 0.3210
B: 0.0000 0.0000 0.5000
P: 0.3333 0.6667 0.1832
P: 0.6667 0.3333 0.8168
Rh: 0.0000 0.5000 0.0000
Rh: 0.1717 0.3434 0.3701
Rh: 0.1717 0.8283 0.3701
Rh: 0.3434 0.1717 0.6299
Rh: 0.5000 0.0000 0.0000
Rh: 0.5000 0.5000 0.0000
Rh: 0.6566 0.8283 0.3701
Rh: 0.8283 0.1717 0.6299
Rh: 0.8283 0.6566 0.6299

Output
Total magnetization = 0.03 μB per atom
Total energy = -112.72 eV for the cell shown
SG = P-3m1 (164)
DFT formation energy = -0.75 eV per atom
Crystal system = trigonal



Density functional theory data (PBE) for CePaB after structural relaxation.

abc: 6.1946 6.1946 6.1946
angles: 149.60 149.60 43.52
Fractional coordinates of all 3 atoms:
Ce: 0.0000 0.0000 0.0000
Pa: 0.7548 0.7548 0.0000
B: 0.3642 0.3642 0.0000

Output
Total magnetization = 0.00 μB per atom
Polymorph energy (0 for the lowest one) = 0.274 eV per atom
Total energy = -21.83 eV for the cell shown
SG = I4mm (107)
DFT formation energy = 0.09 eV per atom
Crystal system = tetragonal



Density functional theory data (PBE) for CePa2B after structural relaxation.

abc: 8.8239 8.8239 8.8239
angles: 22.50 22.50 22.50
Fractional coordinates of all 4 atoms:
Ce: 0.0000 0.0000 0.0000
Pa: 0.2257 0.2257 0.2257
Pa: 0.7743 0.7743 0.7743
B: 0.5000 0.5000 0.5000

Output
Total magnetization = 0.00 μB per atom
Total energy = -31.56 eV for the cell shown
SG = R-3m (166)
DFT formation energy = 0.01 eV per atom
Crystal system = trigonal